A geometry-optimized CdAsIr2 structure, computed with GGA-PBE.

Calculated values
The calculation puts the energy relative to the elements at 3.9 kcal/mol of atoms.

The structure in CIF format:
```
data_CdAsIr2
_symmetry_space_group_name_H-M 'P 1'
_symmetry_Int_Tables_number 1
_cell_length_a 7.987
_cell_length_b 7.987
_cell_length_c 7.987
_cell_angle_alpha 158.58
_cell_angle_beta 158.08
_cell_angle_gamma 30.84
loop_
_symmetry_equiv_pos_as_xyz
'x,y,z'
loop_
_atom_site_label
_atom_site_fract_x
_atom_site_fract_y
_atom_site_fract_z
As1 0.552 0.552 0.000
Ir1 0.964 0.964 0.000
Ir2 0.678 0.178 0.500
Cd1 0.305 0.805 0.500
```

A geometry-optimized Sc3Te5H structure, computed with GGA-PBE.

Calculated values
Its total energy is -89.840 eV per cell.

The structure in CIF format:
```
data_Sc3Te5H
_symmetry_space_group_name_H-M 'P 1'
_symmetry_Int_Tables_number 1
_cell_length_a 8.173
_cell_length_b 8.173
_cell_length_c 8.648
_cell_angle_alpha 72.55
_cell_angle_beta 72.55
_cell_angle_gamma 72.25
loop_
_symmetry_equiv_pos_as_xyz
'x,y,z'
loop_
_atom_site_label
_atom_site_fract_x
_atom_site_fract_y
_atom_site_fract_z
Sc1 0.680 0.680 0.844
Sc2 0.757 0.757 0.411
Sc3 0.000 0.000 0.000
Sc4 0.000 0.000 0.500
Sc5 0.320 0.320 0.156
Sc6 0.243 0.243 0.589
Te1 0.976 0.372 0.378
Te2 0.307 0.693 0.000
Te3 0.778 0.778 0.074
Te4 0.480 0.480 0.342
Te5 0.520 0.520 0.658
Te6 0.222 0.222 0.926
Te7 0.372 0.976 0.378
Te8 0.693 0.307 0.000
Te9 0.024 0.628 0.622
Te10 0.628 0.024 0.622
H1 0.063 0.063 0.716
H2 0.937 0.937 0.284
```

A geometry-optimized AcC2BrO6 structure, computed with GGA-PBE.

Calculated values
The energy relative to the elements, uncorrected is -1761 meV per atom.

The structure in CIF format:
```
data_AcC2BrO6
_symmetry_space_group_name_H-M 'P 1'
_symmetry_Int_Tables_number 1
_cell_length_a 6.950
_cell_length_b 6.950
_cell_length_c 8.143
_cell_angle_alpha 114.56
_cell_angle_beta 114.56
_cell_angle_gamma 88.50
loop_
_symmetry_equiv_pos_as_xyz
'x,y,z'
loop_
_atom_site_label
_atom_site_fract_x
_atom_site_fract_y
_atom_site_fract_z
Ac1 0.583 0.417 0.250
Ac2 0.417 0.583 0.750
C1 0.372 0.099 0.706
C2 0.901 0.628 0.794
C3 0.628 0.901 0.294
C4 0.099 0.372 0.206
Br1 0.100 0.900 0.250
Br2 0.900 0.100 0.750
O1 0.917 0.367 0.202
O2 0.633 0.083 0.298
O3 0.083 0.633 0.798
O4 0.367 0.917 0.702
O5 0.134 0.299 0.043
O6 0.701 0.866 0.457
O7 0.866 0.701 0.957
O8 0.299 0.134 0.543
O9 0.279 0.452 0.371
O10 0.548 0.721 0.129
O11 0.721 0.548 0.629
O12 0.452 0.279 0.871
```

A geometry-optimized TbPrLuTl structure, computed with GGA-PBE.

Calculated values
The calculation puts the energy relative to the elements at -1.4 kcal/mol of atoms.

The structure in CIF format:
```
data_TbPrLuTl
_symmetry_space_group_name_H-M 'P 1'
_symmetry_Int_Tables_number 1
_cell_length_a 5.522
_cell_length_b 5.522
_cell_length_c 5.522
_cell_angle_alpha 60.00
_cell_angle_beta 60.00
_cell_angle_gamma 60.00
loop_
_symmetry_equiv_pos_as_xyz
'x,y,z'
loop_
_atom_site_label
_atom_site_fract_x
_atom_site_fract_y
_atom_site_fract_z
Pr1 0.750 0.750 0.750
Tl1 0.000 0.000 0.000
Lu1 0.500 0.500 0.500
Tb1 0.250 0.250 0.250
```

A geometry-optimized NaZnBO2 structure, computed with GGA-PBE.

Calculated values
The energy relative to the elements, uncorrected is -72 meV per atom.

The structure in CIF format:
```
data_NaZnBO2
_symmetry_space_group_name_H-M 'P 1'
_symmetry_Int_Tables_number 1
_cell_length_a 3.674
_cell_length_b 4.042
_cell_length_c 3.674
_cell_angle_alpha 90.00
_cell_angle_beta 90.00
_cell_angle_gamma 90.00
loop_
_symmetry_equiv_pos_as_xyz
'x,y,z'
loop_
_atom_site_label
_atom_site_fract_x
_atom_site_fract_y
_atom_site_fract_z
Na1 0.500 0.500 0.500
Zn1 0.000 0.500 0.000
B1 0.000 0.000 0.000
O1 0.000 0.000 0.500
O2 0.500 0.000 0.000
```

A geometry-optimized NaTbNp2O8 structure, computed with GGA-PBE.

Calculated values
The energy relative to the elements, uncorrected is -2745 meV per atom.

The structure in CIF format:
```
data_NaTbNp2O8
_symmetry_space_group_name_H-M 'P 1'
_symmetry_Int_Tables_number 1
_cell_length_a 5.335
_cell_length_b 5.335
_cell_length_c 6.416
_cell_angle_alpha 114.57
_cell_angle_beta 114.57
_cell_angle_gamma 90.00
loop_
_symmetry_equiv_pos_as_xyz
'x,y,z'
loop_
_atom_site_label
_atom_site_fract_x
_atom_site_fract_y
_atom_site_fract_z
Na1 0.750 0.250 0.500
Tb1 0.000 0.000 0.000
Np1 0.500 0.500 0.000
Np2 0.250 0.750 0.500
O1 0.878 0.848 0.247
O2 0.369 0.399 0.247
O3 0.601 0.631 0.753
O4 0.152 0.122 0.753
O5 0.878 0.399 0.247
O6 0.369 0.848 0.247
O7 0.152 0.631 0.753
O8 0.601 0.122 0.753
```

A geometry-optimized Cs3NbPd structure, computed with GGA-PBE.

Calculated values
The calculation puts the energy relative to the elements at 32.1 kcal/mol of atoms.

The structure in CIF format:
```
data_Cs3NbPd
_symmetry_space_group_name_H-M 'P 1'
_symmetry_Int_Tables_number 1
_cell_length_a 6.554
_cell_length_b 6.554
_cell_length_c 6.554
_cell_angle_alpha 90.00
_cell_angle_beta 90.00
_cell_angle_gamma 90.00
loop_
_symmetry_equiv_pos_as_xyz
'x,y,z'
loop_
_atom_site_label
_atom_site_fract_x
_atom_site_fract_y
_atom_site_fract_z
Cs1 0.000 0.500 0.000
Cs2 0.000 0.000 0.500
Cs3 0.500 0.000 0.000
Nb1 0.000 0.000 0.000
Pd1 0.500 0.500 0.500
```

A geometry-optimized ReRhCl structure, computed with GGA-PBE.

Calculated values
The energy relative to the elements, uncorrected is 296 meV per atom.

The structure in CIF format:
```
data_ReRhCl
_symmetry_space_group_name_H-M 'P 1'
_symmetry_Int_Tables_number 1
_cell_length_a 2.888
_cell_length_b 2.888
_cell_length_c 6.323
_cell_angle_alpha 90.00
_cell_angle_beta 90.00
_cell_angle_gamma 120.00
loop_
_symmetry_equiv_pos_as_xyz
'x,y,z'
loop_
_atom_site_label
_atom_site_fract_x
_atom_site_fract_y
_atom_site_fract_z
Cl1 0.000 0.000 0.015
Re1 0.333 0.667 0.334
Rh1 0.667 0.333 0.651
```

A geometry-optimized CsBS2 structure, computed with GGA-PBE.

Calculated values
The energy relative to the elements, uncorrected is 1289 meV per atom.

The structure in CIF format:
```
data_CsBS2
_symmetry_space_group_name_H-M 'P 1'
_symmetry_Int_Tables_number 1
_cell_length_a 6.174
_cell_length_b 6.174
_cell_length_c 6.593
_cell_angle_alpha 62.08
_cell_angle_beta 62.08
_cell_angle_gamma 90.00
loop_
_symmetry_equiv_pos_as_xyz
'x,y,z'
loop_
_atom_site_label
_atom_site_fract_x
_atom_site_fract_y
_atom_site_fract_z
Cs1 0.750 0.250 0.500
Cs2 0.250 0.750 0.500
S1 0.750 0.250 0.000
S2 0.250 0.750 0.000
S3 0.250 0.250 0.000
S4 0.750 0.750 0.000
B1 0.750 0.750 0.500
B2 0.250 0.250 0.500
```

A geometry-optimized Tb2MnOs3 structure, computed with GGA-PBE.

Calculated values
The calculation puts the energy relative to the elements at -5.8 kcal/mol of atoms.

The structure in CIF format:
```
data_Tb2MnOs3
_symmetry_space_group_name_H-M 'P 1'
_symmetry_Int_Tables_number 1
_cell_length_a 5.350
_cell_length_b 5.350
_cell_length_c 5.338
_cell_angle_alpha 90.04
_cell_angle_beta 120.06
_cell_angle_gamma 119.96
loop_
_symmetry_equiv_pos_as_xyz
'x,y,z'
loop_
_atom_site_label
_atom_site_fract_x
_atom_site_fract_y
_atom_site_fract_z
Tb1 0.753 0.377 0.130
Tb2 0.247 0.623 0.870
Mn1 0.000 0.000 0.000
Os1 0.500 0.500 0.500
Os2 0.000 0.000 0.500
Os3 0.500 0.000 0.500
```

A geometry-optimized RbNa4Cd structure, computed with GGA-PBE.

Calculated values
The calculation puts the energy relative to the elements at 0.0 kcal/mol of atoms.

The structure in CIF format:
```
data_RbNa4Cd
_symmetry_space_group_name_H-M 'P 1'
_symmetry_Int_Tables_number 1
_cell_length_a 6.200
_cell_length_b 8.617
_cell_length_c 11.011
_cell_angle_alpha 113.03
_cell_angle_beta 106.37
_cell_angle_gamma 90.00
loop_
_symmetry_equiv_pos_as_xyz
'x,y,z'
loop_
_atom_site_label
_atom_site_fract_x
_atom_site_fract_y
_atom_site_fract_z
Rb1 0.786 0.787 0.573
Rb2 0.214 0.213 0.427
Na1 0.146 0.645 0.289
Na2 0.403 0.133 0.807
Na3 0.000 0.187 0.000
Na4 0.597 0.326 0.193
Na5 0.854 0.355 0.711
Na6 0.597 0.867 0.193
Na7 0.000 0.813 0.000
Na8 0.403 0.674 0.807
Cd1 0.261 0.500 0.000
Cd2 0.739 0.500 0.000
```

A geometry-optimized BaCoAu2 structure, computed with GGA-PBE.

Calculated values
The calculation puts the energy relative to the elements at 2.8 kcal/mol of atoms.

The structure in CIF format:
```
data_BaCoAu2
_symmetry_space_group_name_H-M 'P 1'
_symmetry_Int_Tables_number 1
_cell_length_a 3.590
_cell_length_b 3.590
_cell_length_c 7.178
_cell_angle_alpha 90.00
_cell_angle_beta 90.00
_cell_angle_gamma 89.99
loop_
_symmetry_equiv_pos_as_xyz
'x,y,z'
loop_
_atom_site_label
_atom_site_fract_x
_atom_site_fract_y
_atom_site_fract_z
Au1 0.000 0.000 0.958
Au2 0.500 0.500 0.203
Ba1 0.000 0.000 0.498
Co1 0.500 0.500 0.841
```

In order of appearance, D(E_F) = 1.98; 1.98; 0.00; 6.20; 0.55; 10.07; 4.95; 2.38; 1.92; 6.05; 2.75; 6.08 states/eV/f.u..